<1>
Here is an optimized crystal structure of NdSm2In3 from the Alexandria database. Energies are from PBE-GGA.

Computed properties:
Calculated volume: 28.4 A^3/atom
N(E_F): 11.73 states/eV per cell
Total moment: 0.00 μB per formula unit
Theoretical density: 7.7 g/cm3

Unit cell a=5.4410 b=16.3291 c=7.6840 alpha=90.00 beta=90.00 gamma=90.00
Last column: nearest neighbours and their distance in Å.
Space group Cmmm (No. 65)
Unique sites:
Nd: 0.0000 0.1664 0.0000  8 In 3.34-3.36
Sm: 0.0000 0.1677 0.5000  8 In 3.32-3.33
Sm: 0.0000 0.5000 0.0000  8 In 3.33-3.35
Sm: 0.0000 0.5000 0.5000  8 In 3.30-3.31
In: 0.0000 0.0000 0.2536  6 Sm 3.31-3.35, 2 Nd 3.34
In: 0.0000 0.3344 0.2528  5 Sm 3.30-3.33, 3 Nd 3.34-3.36

=====

<2>
Here is an optimized crystal structure of NdSm2In3 from the Alexandria database. Energies are from PBE-GGA.

Computed properties:
Calculated volume: 28.6 A^3/atom
N(E_F): 14.43 states/eV per cell
Total moment: 0.00 μB per formula unit
Theoretical density: 7.6 g/cm3

Unit cell a=16.3291 b=6.5845 c=6.5781 alpha=90.00 beta=103.88 gamma=90.00
Last column: nearest neighbours and their distance in Å.
Space group C2/c (No. 15)
Unique sites:
Nd: 0.0000 0.1329 0.2500  8 In 3.28-3.64, 2 Sm 3.52
Sm: 0.1701 0.3825 0.5877  7 In 3.15-3.52, 1 Nd 3.52
In: 0.0000 0.3684 0.7500  4 Sm 3.21-3.52, 2 Nd 3.28-3.30, 2 In 3.34
In: 0.1649 0.1218 0.0469  5 Sm 3.15-3.49, 2 Nd 3.28-3.37, 2 In 3.34-3.43

=====

How do the energies compare? Relative to the most stable structure, in meV/atom: <1> 0; <2> 60.